# AlReRu2 | Alexandria via LeMat-Bulk | PBE | relaxed
data_AlReRu2
_chemical_formula_sum 'Al1 Re1 Ru2'
_cell_length_a 4.801
_cell_length_b 4.801
_cell_length_c 4.542
_cell_angle_alpha 74.19
_cell_angle_beta 74.19
_cell_angle_gamma 34.82
_symmetry_space_group_name_H-M 'P 1'
_symmetry_Int_Tables_number 1
loop_
_symmetry_equiv_pos_as_xyz
'x,y,z'
loop_
_atom_site_label
_atom_site_type_symbol
_atom_site_fract_x
_atom_site_fract_y
_atom_site_fract_z
Ru1 Ru 0.243 0.243 0.313
Ru2 Ru 0.005 0.005 0.940
Re1 Re 0.750 0.750 0.802
Al1 Al 0.502 0.502 0.445
# * M_tot: 0.00 Bohr magnetons per cell
# * Fermi-level density of states: 4.2 states/eV per cell
# * DFT formation energy: -0.173 eV/atom